VASP calculation (PBE-GGA) on crystalline GaMoPd3 at its relaxed geometry.

abc: 4.830 4.830 4.830
angles: 90.00 90.00 90.00
Space group Pm-3m (No. 221)
Symmetry-distinct sites (fractional):
Ga 0.000 0.000 0.000 (multiplicity 1)
Mo 0.500 0.500 0.500 (multiplicity 1)
Pd 0.000 0.500 0.500 (multiplicity 3)

E above lowest polymorph = 0.332 eV per atom
Raw total energy = -24.33 eV for the cell shown

VASP calculation (PBE-GGA) on crystalline GaMoPd3 at its relaxed geometry.

abc: 4.596 4.596 4.596
angles: 90.00 90.00 90.00
Space group Pm-3m (No. 221)
Symmetry-distinct sites (fractional):
Ga 0.000 0.000 0.000 (multiplicity 1)
Mo 0.500 0.500 0.500 (multiplicity 1)
Pd 0.000 0.000 0.500 (multiplicity 3)

E above lowest polymorph = 0.000 eV per atom
Raw total energy = -25.99 eV for the cell shown

VASP calculation (PBE-GGA) on crystalline Ga2Mo2Pd at its relaxed geometry.

abc: 6.559 6.559 3.591
angles: 90.00 90.00 90.00
Space group P4/mbm (No. 127)
Symmetry-distinct sites (fractional):
Ga 0.133 0.367 0.000 (multiplicity 4)
Mo 0.170 0.670 0.500 (multiplicity 4)
Pd 0.000 0.000 0.000 (multiplicity 2)

Raw total energy = -65.85 eV for the cell shown

VASP calculation (PBE-GGA) on crystalline Ga2MoPd at its relaxed geometry.

abc: 4.303 4.303 3.249
angles: 90.00 90.00 90.00
Space group P4/mmm (No. 123)
Symmetry-distinct sites (fractional):
Ga 0.000 0.500 0.000 (multiplicity 2)
Mo 0.000 0.000 0.500 (multiplicity 1)
Pd 0.500 0.500 0.500 (multiplicity 1)

Raw total energy = -23.25 eV for the cell shown

| no. | calculated density (kg/m3) | calculated formation energy (eV/atom) | total magnetization (μB/f.u.) |
| --- | --- | --- | --- |
| 1 | 7147 | 1.021 | 0.000 |
| 2 | 8297 | 0.689 | 4.435 |
| 3 | 9411 | -0.003 | 0.000 |
| 4 | 9436 | -0.294 | 0.000 |